{
  "formula": "YCu",
  "functional": "GGA-PBE",
  "state": "optimized geometry",
  "cell": [[-3.3203, 6.1414, -2.1917], [-7.8307, -3.6267, 1.7008], [0.4367, 3.9897, 10.5179]],
  "species": ["Y", "Y", "Y", "Y", "Y", "Y", "Y", "Y", "Y", "Y", "Y", "Y", "Y", "Y", "Y", "Y", "Cu", "Cu", "Cu", "Cu", "Cu", "Cu", "Cu", "Cu", "Cu", "Cu", "Cu", "Cu", "Cu", "Cu", "Cu", "Cu"],
  "fractional_positions": [[0.0000, 0.7954, 0.0000], [0.0000, 0.2046, 0.0000], [0.2500, 0.9546, 0.2500], [0.2500, 0.5454, 0.2500], [0.0000, 0.2954, 0.5000], [0.0000, 0.7046, 0.5000], [0.2500, 0.4546, 0.7500], [0.2500, 0.0454, 0.7500], [0.5000, 0.7954, 0.5000], [0.5000, 0.2046, 0.5000], [0.7500, 0.9546, 0.7500], [0.7500, 0.5454, 0.7500], [0.5000, 0.2954, 0.0000], [0.5000, 0.7046, 0.0000], [0.7500, 0.4546, 0.2500], [0.7500, 0.0454, 0.2500], [0.3277, 0.0000, 0.0000], [0.6723, 0.0000, 0.0000], [0.9223, 0.7500, 0.2500], [0.5777, 0.7500, 0.2500], [0.3277, 0.5000, 0.5000], [0.6723, 0.5000, 0.5000], [0.9223, 0.2500, 0.7500], [0.5777, 0.2500, 0.7500], [0.8277, 0.0000, 0.5000], [0.1723, 0.0000, 0.5000], [0.4223, 0.7500, 0.7500], [0.0777, 0.7500, 0.7500], [0.8277, 0.5000, 0.0000], [0.1723, 0.5000, 0.0000], [0.4223, 0.2500, 0.2500], [0.0777, 0.2500, 0.2500]],
  "crystal_system": "orthorhombic",
  "m_tot_mub_per_fu": 0.0,
  "final_energy_ev_per_fu": -10.80,
  "n_ef_per_ev_cell": 31.92,
  "ef_ev_per_fu": -0.2
}

{
  "formula": "KBaHgF6",
  "functional": "GGA-PBE",
  "state": "optimized geometry",
  "cell": [[-5.2979, -1.6204, -3.0292], [-0.8567, -5.9562, -1.9126], [-2.3718, -1.1957, 4.7871]],
  "species": ["K", "Ba", "Hg", "F", "F", "F", "F", "F", "F"],
  "fractional_positions": [[0.6664, 0.6664, 0.5000], [0.0000, 0.0000, 0.0000], [0.3333, 0.3333, 0.5000], [0.0480, 0.3157, 0.2736], [0.3156, 0.0481, 0.7264], [0.6355, 0.3167, 0.7270], [0.0471, 0.6372, 0.7255], [0.3167, 0.6355, 0.2730], [0.6371, 0.0472, 0.2745]],
  "crystal_system": "monoclinic",
  "m_tot_mub_per_fu": 1.0,
  "formation_energy_uncorrected_ev_per_fu": -21.5,
  "final_energy_ev_per_fu": -36.07,
  "n_ef_per_ev_cell": 5.52
}